Record 1
An optimized crystal structure of Li3MoH6, computed with PBE.

The uncorrected energy comes out at -3.694 eV per atom. As for the space-group type: No. 69.

Cell: 4.760 4.760 5.408 Å, 113.19 113.19 96.04°
Each line ends with the local moment (μB).
Element x y z (fractional)
1 Li 0.750 0.250 0.500  0.02
2 Li 0.500 0.500 0.000  -0.01
3 Li 0.250 0.750 0.500  0.02
4 Mo 0.000 0.000 0.000  2.38
5 H 0.912 0.912 0.266  -0.01
6 H 0.646 0.646 0.734  -0.01
7 H 0.354 0.354 0.266  -0.01
8 H 0.088 0.088 0.734  -0.01
9 H 0.254 0.746 0.000  -0.01
10 H 0.746 0.254 0.000  -0.01


Record 2
An optimized crystal structure of ThAl2SiNi4, computed with PBE.

As for the formation energy from raw total energies: -577 meV per atom. As for the space-group type: No. 166.

Cell: 4.031 4.031 8.711 Å, 76.62 76.62 60.00°
Element x y z (fractional)
1 Th 0.000 0.000 0.000
2 Al 0.762 0.762 0.713
3 Al 0.238 0.238 0.287
4 Si 0.500 0.500 0.500
5 Ni 0.407 0.407 0.778
6 Ni 0.863 0.863 0.411
7 Ni 0.137 0.137 0.589
8 Ni 0.593 0.593 0.222


Record 3
An optimized crystal structure of RbZnCl3, computed with PBE.

As for the formation energy from raw total energies: -1466 meV per atom. As for the space-group type: No. 38.

Cell: 4.084 5.963 5.963 Å, 92.47 90.00 90.00°
Element x y z (fractional)
1 Zn 0.500 0.045 0.955
2 Rb 0.000 0.600 0.400
3 Cl 0.500 0.125 0.327
4 Cl 0.500 0.673 0.875
5 Cl 0.000 0.185 0.815


Record 4
An optimized crystal structure of CdSn2Ir, computed with PBE.

As for the formation enthalpy at 0 K: 0.4 eV per formula unit. As for the space-group type: No. 1.

Cell: 3.695 4.542 5.441 Å, 90.08 110.09 89.99°
Element x y z (fractional)
1 Ir 0.981 0.293 0.463
2 Sn 0.416 0.795 0.334
3 Sn 0.702 0.294 0.906
4 Cd 0.142 0.793 0.787


Record 5
An optimized crystal structure of Tb2HoIn2, computed with PBE.

As for the formation enthalpy at 0 K: -1.9 eV per formula unit. For the offset from the most stable computed form, the calculation gives 0 meV/atom. As for the space-group type: No. 11.

Cell: 3.741 5.341 14.038 Å, 90.00 97.68 90.00°
Element x y z (fractional)
1 Tb 0.047 0.750 0.095
2 Tb 0.953 0.250 0.905
3 Tb 0.237 0.750 0.474
4 Tb 0.763 0.250 0.526
5 Ho 0.851 0.750 0.701
6 Ho 0.149 0.250 0.299
7 In 0.642 0.750 0.286
8 In 0.358 0.250 0.714
9 In 0.449 0.750 0.898
10 In 0.551 0.250 0.102


Record 6
An optimized crystal structure of Y2I2Cl, computed with PBE.

For the offset from the most stable computed form, the calculation gives 303 meV/atom. As for the formation energy from raw total energies: -974 meV per atom. As for the space-group type: No. 127.

Cell: 8.538 8.538 3.915 Å, 90.00 90.00 90.00°
Element x y z (fractional)
1 I 0.149 0.649 0.500
2 I 0.649 0.851 0.500
3 I 0.851 0.351 0.500
4 I 0.351 0.149 0.500
5 Y 0.353 0.853 0.000
6 Y 0.853 0.647 0.000
7 Y 0.647 0.147 0.000
8 Y 0.147 0.353 0.000
9 Cl 0.000 0.000 0.000
10 Cl 0.500 0.500 0.000


Record 7
An optimized crystal structure of Na5Sn, computed with PBE.

As for the formation enthalpy at 0 K: -0.5 eV per formula unit. As for the space-group type: No. 12.

Cell: 5.315 5.902 6.809 Å, 102.28 90.00 116.76°
Element x y z (fractional)
1 Na 0.331 0.662 0.654
2 Na 0.613 0.226 0.235
3 Na 0.651 0.303 0.786
4 Na 0.972 0.945 0.445
5 Na 0.293 0.586 0.103
6 Sn 0.972 0.945 0.944


Record 8
An optimized crystal structure of BeTcHg2, computed with PBE.

As for the formation enthalpy at 0 K: 3.2 eV per formula unit. As for the space-group type: No. 216.

Cell: 4.557 4.557 4.557 Å, 60.00 60.00 60.00°
Element x y z (fractional)
1 Be 0.500 0.500 0.500
2 Hg 0.000 0.000 0.000
3 Hg 0.250 0.250 0.250
4 Tc 0.750 0.750 0.750